# BaSnBiPd2, optimized geometry, DFT PBE
data_BaSnBiPd2
_cell_length_a 5.007
_cell_length_b 4.877
_cell_length_c 10.639
_cell_angle_alpha 90.00
_cell_angle_beta 92.44
_cell_angle_gamma 90.00
_symmetry_space_group_name_H-M 'P 1'
_symmetry_Int_Tables_number 1
loop_
_symmetry_equiv_pos_as_xyz
'x,y,z'
loop_
_atom_site_label
_atom_site_type_symbol
_atom_site_fract_x
_atom_site_fract_y
_atom_site_fract_z
Ba1 Ba 0.239 0.250 0.243
Ba2 Ba 0.761 0.750 0.757
Sn1 Sn 0.298 0.250 0.897
Sn2 Sn 0.702 0.750 0.103
Bi1 Bi 0.248 0.750 0.498
Bi2 Bi 0.752 0.250 0.502
Pd1 Pd 0.188 0.750 0.998
Pd2 Pd 0.264 0.250 0.641
Pd3 Pd 0.736 0.750 0.359
Pd4 Pd 0.812 0.250 0.002
# - excess energy over the best structure of this formula in the dataset (kcal/mol of atoms) = 0.00
# - symmetry = P2_1/m (11)
# - V (Å³ per cell) = 259.6
# - crystal system = monoclinic
# - total energy (eV/atom) = -4.757

# BaBi2Pt2, optimized geometry, DFT PBE
data_BaBi2Pt2
_cell_length_a 4.980
_cell_length_b 4.980
_cell_length_c 10.917
_cell_angle_alpha 90.00
_cell_angle_beta 90.00
_cell_angle_gamma 90.00
_symmetry_space_group_name_H-M 'P 1'
_symmetry_Int_Tables_number 1
loop_
_symmetry_equiv_pos_as_xyz
'x,y,z'
loop_
_atom_site_label
_atom_site_type_symbol
_atom_site_fract_x
_atom_site_fract_y
_atom_site_fract_z
Ba1 Ba 0.000 0.000 0.000
Ba2 Ba 0.500 0.500 0.500
Bi1 Bi 0.000 0.500 0.250
Bi2 Bi 0.000 0.500 0.750
Bi3 Bi 0.500 0.000 0.250
Bi4 Bi 0.500 0.000 0.750
Pt1 Pt 0.000 0.000 0.377
Pt2 Pt 0.000 0.000 0.623
Pt3 Pt 0.500 0.500 0.123
Pt4 Pt 0.500 0.500 0.877
# - symmetry = I4/mmm (139)
# - V (Å³ per cell) = 270.8
# - crystal system = tetragonal
# - total energy (eV/atom) = -4.983

# BaBi2Pt2, optimized geometry, DFT PBE
data_BaBi2Pt2
_cell_length_a 4.997
_cell_length_b 4.997
_cell_length_c 11.253
_cell_angle_alpha 90.00
_cell_angle_beta 90.00
_cell_angle_gamma 90.00
_symmetry_space_group_name_H-M 'P 1'
_symmetry_Int_Tables_number 1
loop_
_symmetry_equiv_pos_as_xyz
'x,y,z'
loop_
_atom_site_label
_atom_site_type_symbol
_atom_site_fract_x
_atom_site_fract_y
_atom_site_fract_z
Ba1 Ba 0.000 0.000 0.000
Ba2 Ba 0.500 0.500 0.500
Bi1 Bi 0.000 0.000 0.357
Bi2 Bi 0.000 0.000 0.643
Bi3 Bi 0.500 0.500 0.143
Bi4 Bi 0.500 0.500 0.857
Pt1 Pt 0.000 0.500 0.250
Pt2 Pt 0.000 0.500 0.750
Pt3 Pt 0.500 0.000 0.250
Pt4 Pt 0.500 0.000 0.750
# - symmetry = I4/mmm (139)
# - V (Å³ per cell) = 280.9
# - crystal system = tetragonal
# - total energy (eV/atom) = -4.949

# BaBiPt2, optimized geometry, DFT PBE
data_BaBiPt2
_cell_length_a 4.785
_cell_length_b 4.785
_cell_length_c 5.564
_cell_angle_alpha 90.00
_cell_angle_beta 90.00
_cell_angle_gamma 120.00
_symmetry_space_group_name_H-M 'P 1'
_symmetry_Int_Tables_number 1
loop_
_symmetry_equiv_pos_as_xyz
'x,y,z'
loop_
_atom_site_label
_atom_site_type_symbol
_atom_site_fract_x
_atom_site_fract_y
_atom_site_fract_z
Ba1 Ba 0.000 0.000 0.000
Bi1 Bi 0.667 0.333 0.500
Pt1 Pt 0.333 0.667 0.262
Pt2 Pt 0.333 0.667 0.738
# - symmetry = P-6m2 (187)
# - V (Å³ per cell) = 110.3
# - crystal system = hexagonal
# - total energy (eV/atom) = -4.889